# Ba3Bi4Pb PBE optimized geometry
# M_tot = 0.0 μB per cell
# Formation energy = -4.78 eV per formula unit
# Space-group type = Immm
data_Ba3Bi4Pb
_chemical_formula_sum 'Ba3 Bi4 Pb1'
_cell_length_a 5.116
_cell_length_b 7.495
_cell_length_c 10.300
_cell_angle_alpha 111.34
_cell_angle_beta 104.38
_cell_angle_gamma 90.00
_space_group_name_H-M_alt 'P 1'
_space_group_IT_number 1
_space_group_name_Hall 'P 1'
loop_
_atom_site_label
_atom_site_fract_x
_atom_site_fract_y
_atom_site_fract_z
Bi1 0.374 0.171 0.748
Bi2 0.626 0.829 0.252
Bi3 0.374 0.577 0.748
Bi4 0.626 0.423 0.252
Ba1 0.192 0.192 0.385
Ba2 0.808 0.808 0.615
Ba3 0.000 0.500 0.000
Pb1 0.500 0.000 0.000